No. 1
FeAs2 | GGA-PBE | relaxed

a = 3.9400 Å, b = 3.9400 Å, c = 7.6141 Å
α = 90.00°, β = 90.00°, γ = 120.00°
Space group P6_3/mmc (No. 194)
One atom of each set of equivalent atoms:
1 Fe 0.3333 0.6667 0.2500 (multiplicity 2)
2 As 0.0000 0.0000 0.0000 (multiplicity 2)
3 As 0.3333 0.6667 0.7500 (multiplicity 2)

Values from the calculation:
The calculation puts the calculated total energy at -5.517 eV per atom. The value obtained for the magnetization is 1.0 μB/f.u. Its density of states at the Fermi level is 3.2 states/eV/f.u.

***

No. 2
Fe2As | GGA-PBE | relaxed

a = 3.458 Å, b = 3.458 Å, c = 3.650 Å
α = 90.00°, β = 90.00°, γ = 90.00°
Space group P4/mmm (No. 123)
One atom of each set of equivalent atoms:
1 Fe 0.000 0.500 0.000 (multiplicity 2)
2 As 0.000 0.000 0.500 (multiplicity 1)

Values from the calculation:
The calculation puts the calculated total energy at -6.956 eV per atom. The value obtained for the magnetization is 4.4 μB/f.u. Its density of states at the Fermi level is 2.6 states/eV/f.u.

***

No. 3
Fe2As | GGA-PBE | relaxed

a = 8.525 Å, b = 3.157 Å, c = 5.899 Å
α = 90.00°, β = 102.01°, γ = 90.00°
Space group Cm (No. 8)
One atom of each set of equivalent atoms:
1 Fe 0.000 0.000 0.000 (multiplicity 2)
2 Fe 0.088 0.000 0.560 (multiplicity 2)
3 Fe 0.209 0.500 0.890 (multiplicity 2)
4 Fe 0.354 0.000 0.270 (multiplicity 2)
5 As 0.145 0.500 0.281 (multiplicity 2)
6 As 0.388 0.000 0.695 (multiplicity 2)

Values from the calculation:
The calculation puts the calculated total energy at -7.191 eV per atom. The value obtained for the magnetization is 4.1 μB/f.u. Its density of states at the Fermi level is 3.0 states/eV/f.u.

***

No. 4
FeAs2 | GGA-PBE | relaxed

a = 3.354 Å, b = 12.087 Å, c = 4.724 Å
α = 90.00°, β = 90.00°, γ = 90.00°
Space group Cmcm (No. 63)
One atom of each set of equivalent atoms:
1 Fe 0.000 0.197 0.250 (multiplicity 4)
2 As 0.000 0.158 0.750 (multiplicity 4)
3 As 0.000 0.453 0.750 (multiplicity 4)

Values from the calculation:
The calculation puts the calculated total energy at -5.893 eV per atom. The value obtained for the magnetization is 1.4 μB/f.u. Its density of states at the Fermi level is 2.0 states/eV/f.u.

***

No. 5
Fe3As | GGA-PBE | relaxed

a = 2.685 Å, b = 4.136 Å, c = 4.568 Å
α = 90.00°, β = 92.70°, γ = 90.00°
Space group P2/m (No. 10)
One atom of each set of equivalent atoms:
1 Fe 0.000 0.000 0.000 (multiplicity 1)
2 Fe 0.306 0.500 0.759 (multiplicity 2)
3 As 0.500 0.000 0.500 (multiplicity 1)

Values from the calculation:
The calculation puts the calculated total energy at -7.420 eV per atom. The value obtained for the magnetization is 7.0 μB/f.u. Its density of states at the Fermi level is 3.4 states/eV/f.u.

***

No. 6
FeAs2 | GGA-PBE | relaxed

a = 5.345 Å, b = 6.555 Å, c = 5.329 Å
α = 90.00°, β = 90.00°, γ = 90.00°
Space group Pbcn (No. 60)
One atom of each set of equivalent atoms:
1 Fe 0.000 0.098 0.250 (multiplicity 4)
2 As 0.190 0.387 0.058 (multiplicity 8)

Values from the calculation:
The calculation puts the calculated total energy at -6.106 eV per atom. The value obtained for the magnetization is 0.0 μB/f.u. Its density of states at the Fermi level is 0.6 states/eV/f.u.

***

No. 7
FeAs5 | GGA-PBE | relaxed

a = 3.750 Å, b = 14.325 Å, c = 4.560 Å
α = 90.00°, β = 90.00°, γ = 90.00°
Space group Cmmm (No. 65)
One atom of each set of equivalent atoms:
1 Fe 0.000 0.000 0.000 (multiplicity 2)
2 As 0.000 0.000 0.500 (multiplicity 2)
3 As 0.000 0.309 0.500 (multiplicity 4)
4 As 0.000 0.396 0.000 (multiplicity 4)

Values from the calculation:
The calculation puts the calculated total energy at -5.245 eV per atom. The value obtained for the magnetization is 0.0 μB/f.u. Its density of states at the Fermi level is 2.7 states/eV/f.u.

***

No. 8
Fe2As | GGA-PBE | relaxed

a = 3.165 Å, b = 3.165 Å, c = 7.664 Å
α = 90.00°, β = 90.00°, γ = 90.00°
Space group I4/mmm (No. 139)
One atom of each set of equivalent atoms:
1 Fe 0.000 0.000 0.169 (multiplicity 4)
2 As 0.000 0.000 0.500 (multiplicity 2)

Values from the calculation:
The calculation puts the calculated total energy at -7.174 eV per atom. The value obtained for the magnetization is 4.6 μB/f.u. Its density of states at the Fermi level is 2.5 states/eV/f.u.

***

No. 9
Fe3As | GGA-PBE | relaxed

a = 2.8827 Å, b = 2.8827 Å, c = 7.2512 Å
α = 90.00°, β = 90.00°, γ = 120.00°
Space group P-6m2 (No. 187)
One atom of each set of equivalent atoms:
1 Fe 0.0000 0.0000 0.0000 (multiplicity 1)
2 Fe 0.6667 0.3333 0.2550 (multiplicity 2)
3 As 0.0000 0.0000 0.5000 (multiplicity 1)

Values from the calculation:
The calculation puts the calculated total energy at -7.304 eV per atom. The value obtained for the magnetization is 6.8 μB/f.u. Its density of states at the Fermi level is 3.5 states/eV/f.u.

***

No. 10
FeAs2 | GGA-PBE | relaxed

a = 8.534 Å, b = 2.960 Å, c = 7.697 Å
α = 90.00°, β = 96.52°, γ = 90.00°
Space group Cm (No. 8)
One atom of each set of equivalent atoms:
1 Fe 0.000 0.000 0.000 (multiplicity 2)
2 Fe 0.200 0.500 0.302 (multiplicity 2)
3 As 0.192 0.000 0.547 (multiplicity 2)
4 As 0.218 0.500 0.994 (multiplicity 2)
5 As 0.421 0.000 0.269 (multiplicity 2)
6 As 0.467 0.000 0.743 (multiplicity 2)

Values from the calculation:
The calculation puts the calculated total energy at -5.871 eV per atom. The value obtained for the magnetization is 0.2 μB/f.u. Its density of states at the Fermi level is 1.4 states/eV/f.u.

***

No. 11
Fe3As | GGA-PBE | relaxed

a = 8.0252 Å, b = 8.0252 Å, c = 2.6876 Å
α = 90.00°, β = 90.00°, γ = 120.00°
Space group R-3m (No. 166, hexagonal axes)
One atom of each set of equivalent atoms:
1 Fe 0.0000 0.5000 0.0000 (multiplicity 9)
2 As 0.0000 0.0000 0.0000 (multiplicity 3)

Values from the calculation:
The calculation puts the calculated total energy at -7.400 eV per atom. The value obtained for the magnetization is 6.9 μB/f.u. Its density of states at the Fermi level is 3.0 states/eV/f.u.

***

No. 12
Fe3As | GGA-PBE | relaxed

a = 2.7937 Å, b = 2.7937 Å, c = 22.6670 Å
α = 90.00°, β = 90.00°, γ = 120.00°
Space group R-3m (No. 166, hexagonal axes)
One atom of each set of equivalent atoms:
1 Fe 0.0000 0.0000 0.0000 (multiplicity 3)
2 Fe 0.0000 0.0000 0.2507 (multiplicity 6)
3 As 0.0000 0.0000 0.5000 (multiplicity 3)

Values from the calculation:
The calculation puts the calculated total energy at -7.284 eV per atom. The value obtained for the magnetization is 6.4 μB/f.u. Its density of states at the Fermi level is 4.3 states/eV/f.u.

***

No. 13
Fe2As | GGA-PBE | relaxed

a = 6.909 Å, b = 6.909 Å, c = 6.909 Å
α = 90.00°, β = 90.00°, γ = 90.00°
Space group Fd-3m (No. 227, origin choice 2)
One atom of each set of equivalent atoms:
1 Fe 0.000 0.000 0.000 (multiplicity 16)
2 As 0.125 0.125 0.625 (multiplicity 8)

Values from the calculation:
The calculation puts the calculated total energy at -6.895 eV per atom. The value obtained for the magnetization is 4.8 μB/f.u. Its density of states at the Fermi level is 3.8 states/eV/f.u.

***

No. 14
Fe2As | GGA-PBE | relaxed

a = 9.592 Å, b = 2.885 Å, c = 6.100 Å
α = 90.00°, β = 111.69°, γ = 90.00°
Space group C2/m (No. 12)
One atom of each set of equivalent atoms:
1 Fe 0.049 0.000 0.298 (multiplicity 4)
2 Fe 0.136 0.500 0.040 (multiplicity 4)
3 As 0.170 0.500 0.666 (multiplicity 4)

Values from the calculation:
The calculation puts the calculated total energy at -7.157 eV per atom. The value obtained for the magnetization is 4.4 μB/f.u. Its density of states at the Fermi level is 2.4 states/eV/f.u.

***

No. 15
FeAs2 | GGA-PBE | relaxed

a = 5.746 Å, b = 5.746 Å, c = 5.746 Å
α = 90.00°, β = 90.00°, γ = 90.00°
Space group Fm-3m (No. 225)
One atom of each set of equivalent atoms:
1 Fe 0.000 0.000 0.000 (multiplicity 4)
2 As 0.250 0.250 0.250 (multiplicity 8)

Values from the calculation:
The calculation puts the calculated total energy at -5.928 eV per atom. The value obtained for the magnetization is 0.0 μB/f.u. Its density of states at the Fermi level is 2.1 states/eV/f.u.

***

No. 16
Fe6As | GGA-PBE | relaxed

a = 5.965 Å, b = 5.965 Å, c = 5.965 Å
α = 90.00°, β = 90.00°, γ = 90.00°
Space group Im-3m (No. 229)
One atom of each set of equivalent atoms:
1 Fe 0.000 0.250 0.500 (multiplicity 12)
2 As 0.000 0.000 0.000 (multiplicity 2)

Values from the calculation:
The calculation puts the calculated total energy at -6.714 eV per atom. The value obtained for the magnetization is 0.0 μB/f.u. Its density of states at the Fermi level is 5.3 states/eV/f.u.

***

No. 17
FeAs8 | GGA-PBE | relaxed

a = 10.466 Å, b = 10.466 Å, c = 3.377 Å
α = 90.00°, β = 90.00°, γ = 90.00°
Space group I4/mmm (No. 139)
One atom of each set of equivalent atoms:
1 Fe 0.000 0.000 0.000 (multiplicity 2)
2 As 0.000 0.275 0.000 (multiplicity 8)
3 As 0.152 0.152 0.500 (multiplicity 8)

Values from the calculation:
The calculation puts the calculated total energy at -4.748 eV per atom. The value obtained for the magnetization is 2.2 μB/f.u. Its density of states at the Fermi level is 2.1 states/eV/f.u.

***

No. 18
FeAs2 | GGA-PBE | relaxed

a = 5.713 Å, b = 5.713 Å, c = 5.388 Å
α = 90.00°, β = 90.00°, γ = 90.00°
Space group I4/mcm (No. 140)
One atom of each set of equivalent atoms:
1 Fe 0.000 0.000 0.250 (multiplicity 4)
2 As 0.160 0.340 0.000 (multiplicity 8)

Values from the calculation:
The calculation puts the calculated total energy at -5.878 eV per atom. The value obtained for the magnetization is 0.0 μB/f.u. Its density of states at the Fermi level is 1.8 states/eV/f.u.

***

No. 19
FeAs2 | GGA-PBE | relaxed

a = 4.6860 Å, b = 4.6860 Å, c = 2.6961 Å
α = 90.00°, β = 90.00°, γ = 120.00°
Space group P6/mmm (No. 191)
One atom of each set of equivalent atoms:
1 Fe 0.0000 0.0000 0.0000 (multiplicity 1)
2 As 0.3333 0.6667 0.5000 (multiplicity 2)

Values from the calculation:
The calculation puts the calculated total energy at -5.397 eV per atom. The value obtained for the magnetization is 3.1 μB/f.u. Its density of states at the Fermi level is 3.3 states/eV/f.u.

***

No. 20
Fe2As | GGA-PBE | relaxed

a = 5.282 Å, b = 5.282 Å, c = 5.669 Å
α = 90.00°, β = 90.00°, γ = 90.00°
Space group I4/mcm (No. 140)
One atom of each set of equivalent atoms:
1 Fe 0.166 0.334 0.000 (multiplicity 8)
2 As 0.000 0.000 0.250 (multiplicity 4)

Values from the calculation:
The calculation puts the calculated total energy at -7.022 eV per atom. The value obtained for the magnetization is 3.8 μB/f.u. Its density of states at the Fermi level is 4.0 states/eV/f.u.

***

No. 21
Fe2As3 | GGA-PBE | relaxed

a = 3.9722 Å, b = 3.9722 Å, c = 5.4259 Å
α = 90.00°, β = 90.00°, γ = 120.00°
Space group P-3m1 (No. 164)
One atom of each set of equivalent atoms:
1 Fe 0.3333 0.6667 0.3462 (multiplicity 2)
2 As 0.0000 0.0000 0.5000 (multiplicity 1)
3 As 0.3333 0.6667 0.8448 (multiplicity 2)

Values from the calculation:
The calculation puts the calculated total energy at -6.083 eV per atom. The value obtained for the magnetization is 0.0 μB/f.u. Its density of states at the Fermi level is 3.1 states/eV/f.u.

***

No. 22
Fe2As | GGA-PBE | relaxed

a = 2.789 Å, b = 3.701 Å, c = 16.588 Å
α = 90.00°, β = 90.00°, γ = 90.00°
Space group Imma (No. 74)
One atom of each set of equivalent atoms:
1 Fe 0.000 0.250 0.041 (multiplicity 4)
2 Fe 0.000 0.250 0.190 (multiplicity 4)
3 As 0.000 0.250 0.615 (multiplicity 4)

Values from the calculation:
The calculation puts the calculated total energy at -6.778 eV per atom. The value obtained for the magnetization is 4.8 μB/f.u. Its density of states at the Fermi level is 3.6 states/eV/f.u.

***

No. 23
Fe2As | GGA-PBE | relaxed

a = 2.788 Å, b = 6.876 Å, c = 3.903 Å
α = 90.00°, β = 90.00°, γ = 90.00°
Space group Pnnm (No. 58)
One atom of each set of equivalent atoms:
1 Fe 0.207 0.163 0.000 (multiplicity 4)
2 As 0.000 0.500 0.000 (multiplicity 2)

Values from the calculation:
The calculation puts the calculated total energy at -7.098 eV per atom. The value obtained for the magnetization is 3.4 μB/f.u. Its density of states at the Fermi level is 2.4 states/eV/f.u.

***

No. 24
FeAs5 | GGA-PBE | relaxed

a = 5.3279 Å, b = 5.3279 Å, c = 5.0188 Å
α = 90.00°, β = 90.00°, γ = 120.00°
Space group P6/mmm (No. 191)
One atom of each set of equivalent atoms:
1 Fe 0.0000 0.0000 0.0000 (multiplicity 1)
2 As 0.0000 0.5000 0.5000 (multiplicity 3)
3 As 0.3333 0.6667 0.0000 (multiplicity 2)

Values from the calculation:
The calculation puts the calculated total energy at -4.536 eV per atom. The value obtained for the magnetization is 3.4 μB/f.u. Its density of states at the Fermi level is 3.8 states/eV/f.u.

***

No. 25
FeAs2 | GGA-PBE | relaxed

a = 6.8303 Å, b = 6.8303 Å, c = 3.4303 Å
α = 90.00°, β = 90.00°, γ = 120.00°
Space group P-62m (No. 189)
One atom of each set of equivalent atoms:
1 Fe 0.0000 0.0000 0.0000 (multiplicity 1)
2 Fe 0.3333 0.6667 0.5000 (multiplicity 2)
3 As 0.0000 0.2652 0.5000 (multiplicity 3)
4 As 0.0000 0.6157 0.0000 (multiplicity 3)

Values from the calculation:
The calculation puts the calculated total energy at -5.831 eV per atom. The value obtained for the magnetization is 1.7 μB/f.u. Its density of states at the Fermi level is 2.5 states/eV/f.u.

***

No. 26
Fe2As | GGA-PBE | relaxed

a = 6.0588 Å, b = 6.0588 Å, c = 3.5588 Å
α = 90.00°, β = 90.00°, γ = 120.00°
Space group P-62m (No. 189)
One atom of each set of equivalent atoms:
1 Fe 0.0000 0.2541 0.0000 (multiplicity 3)
2 Fe 0.0000 0.5891 0.5000 (multiplicity 3)
3 As 0.0000 0.0000 0.5000 (multiplicity 1)
4 As 0.3333 0.6667 0.0000 (multiplicity 2)

Values from the calculation:
The calculation puts the calculated total energy at -7.254 eV per atom. The value obtained for the magnetization is 3.1 μB/f.u. Its density of states at the Fermi level is 3.6 states/eV/f.u.

***

No. 27
FeAs2 | GGA-PBE | relaxed

a = 6.773 Å, b = 3.430 Å, c = 8.030 Å
α = 90.00°, β = 90.00°, γ = 90.00°
Space group Pnma (No. 62)
One atom of each set of equivalent atoms:
1 Fe 0.248 0.250 0.101 (multiplicity 4)
2 As 0.021 0.750 0.360 (multiplicity 4)
3 As 0.124 0.750 0.903 (multiplicity 4)

Values from the calculation:
The calculation puts the calculated total energy at -5.821 eV per atom. The value obtained for the magnetization is 1.4 μB/f.u. Its density of states at the Fermi level is 2.4 states/eV/f.u.